Below is Dy4YEr2Mg after structural relaxation, with properties calculated at the PBE-GGA level.

Results
The total energy comes out at -35.4 eV for the cell shown. The formation energy comes out at 0.022 eV/atom. The value obtained for the density of states at the Fermi level is 1.516 states/eV/atom. The calculation puts the magnetic moment at 0.000 Bohr magnetons per cell.

abc: 4.957 4.957 9.887
angles: 90.00 90.00 90.00
Fractional positions:
Dy (0.000, 0.500, 0.247)
Dy (0.000, 0.500, 0.753)
Dy (0.500, 0.000, 0.247)
Dy (0.500, 0.000, 0.753)
Y (0.000, 0.000, 0.500)
Er (0.000, 0.000, 0.000)
Er (0.500, 0.500, 0.500)
Mg (0.500, 0.500, 0.000)